[1]
Entry from Alexandria: a relaxed AcMnP3 crystal (GGA-PBE).

Values from the calculation:
**E_form**: -481 meV/atom
**Volume**: 20.0 A^3/atom
**Crystal system**: cubic

Geometry as POSCAR:
```
AcMnP3
1.0
4.640 0.000 0.000
0.000 4.640 0.000
0.000 0.000 4.640
Ac Mn P
1 1 3
direct
0.000 0.000 0.000
0.500 0.500 0.500
0.000 0.500 0.500
0.500 0.000 0.500
0.500 0.500 0.000
```

---

[2]
Entry from Alexandria: a relaxed Ac2MnP crystal (GGA-PBE).

Values from the calculation:
**E_form**: -270 meV/atom
**Volume**: 27.5 A^3/atom
**Crystal system**: tetragonal

Geometry as POSCAR:
```
Ac2MnP
1.0
5.336 0.000 0.000
0.000 5.336 0.000
0.000 0.000 3.861
Ac Mn P
2 1 1
direct
0.000 0.500 0.000
0.500 0.000 0.000
0.000 0.000 0.500
0.500 0.500 0.500
```

---

[3]
Entry from Alexandria: a relaxed Ac2MnPPd6 crystal (GGA-PBE).

Values from the calculation:
**E_form**: -641 meV/atom
**Volume**: 21.0 A^3/atom
**Crystal system**: monoclinic

Geometry as POSCAR:
```
Ac2MnPPd6
1.0
5.815 -2.840 0.000
5.815 2.840 0.000
-5.261 0.000 6.361
Ac Mn P Pd
2 1 1 6
direct
0.239 0.239 0.207
0.761 0.761 0.793
0.500 0.500 0.000
0.000 0.000 0.500
0.247 0.743 0.729
0.250 0.250 0.620
0.257 0.753 0.271
0.743 0.247 0.729
0.750 0.750 0.380
0.753 0.257 0.271
```

---

[4]
Entry from Alexandria: a relaxed AcMnP2Pd crystal (GGA-PBE).

Values from the calculation:
**E_form**: -810 meV/atom
**Volume**: 18.5 A^3/atom
**Crystal system**: tetragonal

Geometry as POSCAR:
```
AcMnP2Pd
1.0
-1.969 1.969 5.962
1.969 -1.969 5.962
1.969 1.969 -5.962
Ac Mn P Pd
1 1 2 1
direct
0.000 0.000 0.000
0.750 0.250 0.500
0.357 0.357 0.000
0.643 0.643 0.000
0.250 0.750 0.500
```

---

What did the fourth record say?
Entry from Alexandria: a relaxed AcMnP2Pd crystal (GGA-PBE).

Values from the calculation:
**E_form**: -810 meV/atom
**Volume**: 18.5 A^3/atom
**Crystal system**: tetragonal

Geometry as POSCAR:
```
AcMnP2Pd
1.0
-1.969 1.969 5.962
1.969 -1.969 5.962
1.969 1.969 -5.962
Ac Mn P Pd
1 1 2 1
direct
0.000 0.000 0.000
0.750 0.250 0.500
0.357 0.357 0.000
0.643 0.643 0.000
0.250 0.750 0.500
```